DFT (PBE) results for crystalline BaHfBe at its relaxed geometry.

Properties
**Mass density**: 6.54 g cm⁻³
**Electronic total energy**: -49.6 eV per cell
**Excess energy over the best structure of this formula in the dataset**: 0 meV per atom
**Total magnetization**: 0.04 μB per formula unit
**Crystal system**: cubic

a b c (Å): 6.9094 6.9094 6.9094
angles (deg): 90.00 90.00 90.00
Last column: nearest neighbours and their distance in Å.
Space group F-43m (No. 216)
Unique sites:
Ba1 0.0000 0.0000 0.0000  4 Be 2.99
Hf1 0.0000 0.0000 0.5000  4 Be 2.99
Be1 0.2500 0.2500 0.2500  4 Hf 2.99, 4 Ba 2.99